The following is a PBE calculation of an optimized crystal structure of SrCd2IrAu, from Alexandria via LeMat-Bulk.

```
data_SrCd2IrAu
_cell_length_a 5.138
_cell_length_b 5.138
_cell_length_c 5.276
_cell_angle_alpha 90.00
_cell_angle_beta 90.00
_cell_angle_gamma 90.00
_symmetry_space_group_name_H-M 'P 1'
_symmetry_Int_Tables_number 1
loop_
_symmetry_equiv_pos_as_xyz
'x,y,z'
loop_
_atom_site_label
_atom_site_type_symbol
_atom_site_fract_x
_atom_site_fract_y
_atom_site_fract_z
Sr1 Sr 0.000 0.000 0.000
Cd1 Cd 0.000 0.500 0.500
Cd2 Cd 0.500 0.000 0.500
Ir1 Ir 0.500 0.500 0.000
Au1 Au 0.500 0.500 0.500
```

Calculated values
raw total energy	-2.8147	eV per atom

=====

The following is a PBE calculation of an optimized crystal structure of Th2CdIrAu, from Alexandria via LeMat-Bulk.

```
data_Th2CdIrAu
_cell_length_a 8.129
_cell_length_b 4.047
_cell_length_c 8.337
_cell_angle_alpha 90.00
_cell_angle_beta 111.66
_cell_angle_gamma 90.00
_symmetry_space_group_name_H-M 'P 1'
_symmetry_Int_Tables_number 1
loop_
_symmetry_equiv_pos_as_xyz
'x,y,z'
loop_
_atom_site_label
_atom_site_type_symbol
_atom_site_fract_x
_atom_site_fract_y
_atom_site_fract_z
Th1 Th 0.130 0.250 0.360
Th2 Th 0.293 0.250 0.007
Th3 Th 0.707 0.750 0.993
Th4 Th 0.870 0.750 0.640
Cd1 Cd 0.304 0.750 0.692
Cd2 Cd 0.696 0.250 0.308
Ir1 Ir 0.106 0.750 0.114
Ir2 Ir 0.894 0.250 0.886
Au1 Au 0.459 0.750 0.354
Au2 Au 0.541 0.250 0.646
```

Calculated values
raw total energy	-6.1100	eV per atom

=====

The following is a PBE calculation of an optimized crystal structure of TmCdIrAu, from Alexandria via LeMat-Bulk.

```
data_TmCdIrAu
_cell_length_a 4.791
_cell_length_b 4.791
_cell_length_c 4.791
_cell_angle_alpha 60.00
_cell_angle_beta 60.00
_cell_angle_gamma 60.00
_symmetry_space_group_name_H-M 'P 1'
_symmetry_Int_Tables_number 1
loop_
_symmetry_equiv_pos_as_xyz
'x,y,z'
loop_
_atom_site_label
_atom_site_type_symbol
_atom_site_fract_x
_atom_site_fract_y
_atom_site_fract_z
Tm1 Tm 0.000 0.000 0.000
Cd1 Cd 0.500 0.500 0.500
Ir1 Ir 0.250 0.250 0.250
Au1 Au 0.750 0.750 0.750
```

Calculated values
raw total energy	-4.8488	eV per atom

=====

The following is a PBE calculation of an optimized crystal structure of VCdIrAu2, from Alexandria via LeMat-Bulk.

```
data_VCdIrAu2
_cell_length_a 5.147
_cell_length_b 5.147
_cell_length_c 4.482
_cell_angle_alpha 90.00
_cell_angle_beta 90.00
_cell_angle_gamma 90.00
_symmetry_space_group_name_H-M 'P 1'
_symmetry_Int_Tables_number 1
loop_
_symmetry_equiv_pos_as_xyz
'x,y,z'
loop_
_atom_site_label
_atom_site_type_symbol
_atom_site_fract_x
_atom_site_fract_y
_atom_site_fract_z
V1 V 0.000 0.000 0.000
Cd1 Cd 0.500 0.500 0.000
Ir1 Ir 0.000 0.000 0.500
Au1 Au 0.000 0.500 0.500
Au2 Au 0.500 0.000 0.500
```

Calculated values
raw total energy	-4.3797	eV per atom

=====

The following is a PBE calculation of an optimized crystal structure of YCdIrAu, from Alexandria via LeMat-Bulk.

```
data_YCdIrAu
_cell_length_a 4.837
_cell_length_b 4.837
_cell_length_c 4.837
_cell_angle_alpha 60.00
_cell_angle_beta 60.00
_cell_angle_gamma 60.00
_symmetry_space_group_name_H-M 'P 1'
_symmetry_Int_Tables_number 1
loop_
_symmetry_equiv_pos_as_xyz
'x,y,z'
loop_
_atom_site_label
_atom_site_type_symbol
_atom_site_fract_x
_atom_site_fract_y
_atom_site_fract_z
Y1 Y 0.000 0.000 0.000
Cd1 Cd 0.500 0.500 0.500
Ir1 Ir 0.750 0.750 0.750
Au1 Au 0.250 0.250 0.250
```

Calculated values
raw total energy	-5.3073	eV per atom

=====

The following is a PBE calculation of an optimized crystal structure of K8CdAu2, from Alexandria via LeMat-Bulk.

```
data_K8CdAu2
_cell_length_a 9.350
_cell_length_b 9.350
_cell_length_c 6.564
_cell_angle_alpha 97.57
_cell_angle_beta 97.57
_cell_angle_gamma 111.24
_symmetry_space_group_name_H-M 'P 1'
_symmetry_Int_Tables_number 1
loop_
_symmetry_equiv_pos_as_xyz
'x,y,z'
loop_
_atom_site_label
_atom_site_type_symbol
_atom_site_fract_x
_atom_site_fract_y
_atom_site_fract_z
K1 K 0.059 0.326 0.586
K2 K 0.246 0.754 0.000
K3 K 0.326 0.059 0.586
K4 K 0.373 0.373 0.202
K5 K 0.627 0.627 0.798
K6 K 0.674 0.941 0.414
K7 K 0.754 0.246 0.000
K8 K 0.941 0.674 0.414
Cd1 Cd 0.000 0.000 0.000
Au1 Au 0.319 0.681 0.500
Au2 Au 0.681 0.319 0.500
```

Calculated values
raw total energy	-1.5977	eV per atom